Entry from the Alexandria database: a relaxed structure of VGa2GeO6 (PBE+U).

The structure in extended XYZ format:
```
20
Lattice="-3.020 -4.582 1.525 4.640 -4.575 2.561 -3.086 1.679 6.056" Properties=species:S:1:pos:R:3 pbc="T T T"
V 3.148 -5.124 3.275
V -4.614 -2.353 6.866
Ga 0.631 -3.831 5.701
Ga 0.654 -2.359 3.117
Ga -2.096 -3.646 4.441
Ga -2.120 -5.118 7.024
Ge -2.392 -0.639 5.781
Ge 0.926 -6.838 4.360
O 1.431 -3.805 7.552
O -0.210 -2.334 1.294
O -2.896 -3.672 2.589
O -1.256 -5.143 8.847
O 1.589 -5.327 5.001
O 2.368 -3.027 2.608
O -3.054 -2.150 5.140
O -3.834 -4.451 7.533
O 1.440 -2.269 5.110
O -0.358 -3.758 3.800
O -2.906 -5.209 5.031
O -1.107 -3.719 6.342
```

Space group   C2/c, No. 15
Total DFT energy (no corrections)   -6.48 eV per atom
Magnetization   3.00 μB/f.u.
Mass density   4.7 Mg/m³